--- 1 ---
A relaxed structure of BaY2Ni, computed with PBE.

Structure (POSCAR):
```
BaY2Ni
1.0
6.2954 0.0090 0.0000
2.9085 5.5832 0.0000
-4.6020 -2.7961 3.2612
Ba Ni Y
1 1 2
direct
0.5000 0.5000 0.0000 Ba
0.7500 0.2500 0.5000 Ni
0.0000 0.0000 0.0000 Y
0.2500 0.7500 0.5000 Y
```

Calculated values
Mass density, g/cm3: 5.42
SG: No. 119
D(E_F), states/eV per cell: 6.36

***

--- 2 ---
A relaxed structure of BaY2Ni, computed with PBE.

Structure (POSCAR):
```
BaY2Ni
1.0
-0.2905 0.1532 3.5172
2.0551 -2.8569 0.2942
9.9515 2.8706 0.6969
Ba Ni Y
1 1 2
direct
0.5000 0.2500 0.2500 Ba
0.5000 0.7500 0.7500 Ni
0.0000 0.0889 0.9110 Y
0.0000 0.4111 0.5890 Y
```

Calculated values
Mass density, g/cm3: 5.10
SG: No. 123
D(E_F), states/eV per cell: 3.36

***

The most stable arrangement is 2, and the next structure is 514 meV/atom less stable.

***

--- 1 ---
A relaxed structure of BaY2Ni, computed with PBE.

Structure (POSCAR):
```
BaY2Ni
1.0
-0.3949 -3.3292 1.8017
3.1851 -1.4783 -2.0334
6.8040 1.9905 5.1696
Ba Ni Y
1 1 2
direct
0.0000 0.6699 0.5343 Ba
0.5000 0.5039 0.8668 Ni
0.0000 0.9793 0.9167 Y
0.5000 0.3470 0.1822 Y
```

Calculated values
Mass density, g/cm3: 4.71
SG: No. 38
D(E_F), states/eV per cell: 4.71

***

--- 2 ---
A relaxed structure of BaY2Ni, computed with PBE.

Structure (POSCAR):
```
BaY2Ni
1.0
6.5270 0.0668 0.0000
3.2866 5.6395 0.0000
-4.9068 -2.8531 3.2232
Ba Ni Y
1 1 2
direct
0.2500 0.7500 0.5000 Ba
0.7500 0.2500 0.5000 Ni
0.0000 0.0000 0.0000 Y
0.5000 0.5000 0.0000 Y
```

Calculated values
Mass density, g/cm3: 5.26
SG: No. 139
D(E_F), states/eV per cell: 6.09

***

The most stable arrangement is 1, and the next structure is 463 meV/atom less stable.

***

--- 1 ---
A relaxed structure of BaY2Ni, computed with PBE.

Structure (POSCAR):
```
BaY2Ni
1.0
6.7256 0.0037 0.0063
-3.5396 5.7188 0.0063
0.8848 1.5891 3.1098
Ba Ni Y
1 1 2
direct
0.5000 0.0000 0.5000 Ba
0.0000 0.5000 0.5000 Ni
0.0000 0.0000 0.0000 Y
0.5000 0.5000 0.0000 Y
```

Calculated values
Mass density, g/cm3: 5.19
SG: No. 12
D(E_F), states/eV per cell: 5.93

***

--- 2 ---
A relaxed structure of BaY2Ni, computed with PBE.

Structure (POSCAR):
```
BaY2Ni
1.0
-1.4256 1.2831 5.1067
1.5412 -4.1406 1.4706
4.2222 1.8271 0.7196
Ba Ni Y
1 1 2
direct
0.5000 0.5000 0.0000 Ba
0.5000 0.0000 0.5000 Ni
0.0000 0.0000 0.0000 Y
0.0000 0.5000 0.5000 Y
```

Calculated values
Mass density, g/cm3: 5.25
SG: No. 123
D(E_F), states/eV per cell: 5.02

***

--- 3 ---
A relaxed structure of BaY2Ni, computed with PBE.

Structure (POSCAR):
```
BaY2Ni
1.0
8.1021 0.0000 0.0000
0.0000 8.1021 0.0000
4.0510 4.0510 5.7014
Y Ni Ba
4 2 2
direct
0.3755 0.1250 0.2500 Y
0.3745 0.6250 0.2500 Y
0.3750 0.6245 0.7500 Y
0.8750 0.6255 0.7500 Y
0.5000 0.5000 0.0000 Ni
0.2500 0.7500 0.5000 Ni
0.0000 0.0000 0.0000 Ba
0.7500 0.2500 0.5000 Ba
```

Calculated values
Mass density, g/cm3: 3.32
SG: No. 141
D(E_F), states/eV per cell: 25.99

***

The most stable arrangement is 2, and the next structure is 13 meV/atom less stable.

***

--- 1 ---
A relaxed structure of BaY2Ni, computed with PBE.

Structure (POSCAR):
```
BaY2Ni
1.0
6.4825 -0.0094 0.1210
5.4025 3.5827 0.1210
3.2329 0.9720 5.7327
Ba Ni Y
1 1 2
direct
0.4393 0.4393 0.5094 Ba
0.7157 0.7157 0.9440 Ni
0.0789 0.0789 0.8737 Y
0.2661 0.2661 0.1729 Y
```

Calculated values
Mass density, g/cm3: 4.71
SG: No. 8
D(E_F), states/eV per cell: 5.26

***

--- 2 ---
A relaxed structure of BaY2Ni, computed with PBE.

Structure (POSCAR):
```
BaY2Ni
1.0
3.7153 0.0000 0.0000
0.0000 3.7153 0.0000
0.0000 0.0000 9.0171
Ba Ni Y
1 1 2
direct
0.0000 0.0000 0.5527 Ba
0.5000 0.5000 0.8161 Ni
0.0000 0.0000 0.9339 Y
0.5000 0.5000 0.1974 Y
```

Calculated values
Mass density, g/cm3: 4.99
SG: No. 99
D(E_F), states/eV per cell: 4.82

***

The most stable arrangement is 2, and the next structure is 19 meV/atom less stable.

***

--- 1 ---
A relaxed structure of BaY2Ni, computed with PBE.

Structure (POSCAR):
```
BaY2Ni
1.0
-1.9118 4.4557 -4.6940
-4.9912 3.1164 -3.3044
-1.4716 5.4236 1.9663
Ba Ni Y
1 1 2
direct
0.2500 0.2500 0.2500 Ba
0.7500 0.7500 0.7500 Ni
0.0681 0.0681 0.9319 Y
0.4319 0.4319 0.5681 Y
```

Calculated values
Mass density, g/cm3: 4.97
SG: No. 71
D(E_F), states/eV per cell: 4.73

***

--- 2 ---
A relaxed structure of BaY2Ni, computed with PBE.

Structure (POSCAR):
```
BaY2Ni
1.0
9.8887 -0.0113 -0.0067
9.0499 3.9856 -0.0067
9.0499 1.8992 3.5040
Ba Ni Y
1 1 2
direct
0.2500 0.2500 0.2500 Ba
0.7500 0.7500 0.7500 Ni
0.0354 0.0354 0.0354 Y
0.4646 0.4646 0.4646 Y
```

Calculated values
Mass density, g/cm3: 4.48
SG: No. 166
D(E_F), states/eV per cell: 4.46

***

The most stable arrangement is 2, and the next structure is 108 meV/atom less stable.

***

--- 1 ---
A relaxed structure of BaYNi, computed with PBE.

Structure (POSCAR):
```
BaYNi
1.0
-3.2404 -3.3007 2.0905
1.6142 -3.2258 3.5712
-1.4790 0.6007 4.8184
Ba Ni Y
1 1 1
direct
0.5000 0.5000 0.5000 Ba
0.7500 0.7500 0.7500 Ni
0.0000 0.0000 0.0000 Y
```

Calculated values
Mass density, g/cm3: 5.12
SG: No. 216
D(E_F), states/eV per cell: 3.41

***

--- 2 ---
A relaxed structure of BaYNi, computed with PBE.

Structure (POSCAR):
```
BaYNi
1.0
3.9130 -0.0009 0.0003
1.9474 4.8216 0.0009
1.7803 0.3786 10.9212
Ba Y Ni
2 2 2
direct
0.7238 0.2490 0.3340 Ba
0.2762 0.7510 0.6660 Ba
0.9004 0.2806 0.9102 Y
0.0996 0.7194 0.0898 Y
0.3837 0.1469 0.0957 Ni
0.6163 0.8531 0.9043 Ni
```

Calculated values
Mass density, g/cm3: 4.59
SG: No. 2
D(E_F), states/eV per cell: 6.57

***

--- 3 ---
A relaxed structure of BaYNi, computed with PBE.

Structure (POSCAR):
```
BaYNi
1.0
4.1576 0.0000 0.0000
-2.0788 3.6006 0.0000
0.0000 0.0000 6.8796
Ba Ni Y
1 1 1
direct
0.0000 0.0000 0.0813 Ba
0.6667 0.3333 0.3667 Ni
0.3333 0.6667 0.5520 Y
```

Calculated values
Mass density, g/cm3: 4.59
SG: No. 156
D(E_F), states/eV per cell: 3.59

***

--- 4 ---
A relaxed structure of BaYNi, computed with PBE.

Structure (POSCAR):
```
BaYNi
1.0
4.9352 0.0000 0.0000
2.4676 4.2740 0.0000
2.4676 1.4247 4.0296
Ba Ni Y
1 1 1
direct
0.7500 0.7500 0.7500 Ba
0.0000 0.0000 0.0000 Ni
0.5000 0.5000 0.5000 Y
```

Calculated values
Mass density, g/cm3: 5.57
SG: No. 216
D(E_F), states/eV per cell: 3.06

***

The most stable arrangement is 2, and the next structure is 153 meV/atom less stable.

***

--- 1 ---
A relaxed structure of BaYNi, computed with PBE.

Structure (POSCAR):
```
BaYNi
1.0
7.2787 -0.0112 0.0120
6.3782 3.5066 0.0089
0.9005 0.2332 3.5101
Ba Ni Y
1 1 1
direct
0.9721 0.9721 0.0279 Ba
0.3089 0.3089 0.6911 Ni
0.7190 0.7190 0.2810 Y
```

Calculated values
Mass density, g/cm3: 5.27
SG: No. 107
D(E_F), states/eV per cell: 2.63

***

--- 2 ---
A relaxed structure of BaYNi, computed with PBE.

Structure (POSCAR):
```
BaYNi
1.0
3.9160 0.0000 0.0001
-0.0010 4.2102 0.0001
-1.9510 -0.0003 11.7726
Ba Y Ni
2 2 2
direct
0.4821 0.6481 0.1502 Ba
0.1334 0.1481 0.4492 Ba
0.7528 0.6490 0.6865 Y
0.8654 0.1490 0.9130 Y
0.3417 0.6497 0.8637 Ni
0.2780 0.1497 0.7360 Ni
```

Calculated values
Mass density, g/cm3: 4.88
SG: No. 1
D(E_F), states/eV per cell: 6.51

***

--- 3 ---
A relaxed structure of BaYNi, computed with PBE.

Structure (POSCAR):
```
BaYNi
1.0
6.4752 0.0000 0.0000
0.0000 3.9257 0.0000
0.0000 0.0000 7.9410
Ba Y Ni
2 2 2
direct
0.0000 0.5000 0.1311 Ba
0.5000 0.0000 0.4577 Ba
0.0000 0.5000 0.6529 Y
0.5000 0.5000 0.8889 Y
0.8073 0.0000 0.8341 Ni
0.1927 0.0000 0.8341 Ni
```

Calculated values
Mass density, g/cm3: 4.69
SG: No. 25
D(E_F), states/eV per cell: 6.60

***

The most stable arrangement is 2, and the next structure is 110 meV/atom less stable.

***

--- 1 ---
A relaxed structure of Ba2YNi, computed with PBE.

Structure (POSCAR):
```
Ba2YNi
1.0
-0.8310 3.1707 2.8859
4.8192 -3.2670 4.9773
7.4660 0.2613 1.8628
Ba Ni Y
2 1 1
direct
0.0000 0.1038 0.1049 Ba
0.0000 0.3962 0.3951 Ba
0.5000 0.2500 0.2500 Ni
0.5000 0.7500 0.7500 Y
```

Calculated values
Mass density, g/cm3: 4.14
SG: No. 10
D(E_F), states/eV per cell: 3.85

***

--- 2 ---
A relaxed structure of Ba2YNi, computed with PBE.

Structure (POSCAR):
```
Ba2YNi
1.0
7.1470 0.0196 -0.1119
6.0859 3.7472 -0.1119
2.8445 0.8097 5.5448
Ba Ni Y
2 1 1
direct
0.9947 0.9947 0.0062 Ba
0.8153 0.8153 0.6856 Ba
0.5212 0.5212 0.4765 Ni
0.1689 0.1689 0.3318 Y
```

Calculated values
Mass density, g/cm3: 4.70
SG: No. 8
D(E_F), states/eV per cell: 3.77

***

--- 3 ---
A relaxed structure of Ba2YNi, computed with PBE.

Structure (POSCAR):
```
Ba2YNi
1.0
-2.6058 -2.5248 -0.8977
2.5737 -2.0096 -1.8190
2.0633 -5.2169 8.6830
Ba Ni Y
2 1 1
direct
0.0000 0.0000 0.9649 Ba
0.5000 0.5000 0.3306 Ba
0.0000 0.0000 0.5446 Ni
0.5000 0.5000 0.6600 Y
```

Calculated values
Mass density, g/cm3: 4.85
SG: No. 99
D(E_F), states/eV per cell: 3.27

***

--- 4 ---
A relaxed structure of Ba2YNi, computed with PBE.

Structure (POSCAR):
```
Ba2YNi
1.0
10.8166 -0.0049 -0.0029
10.0376 4.0306 -0.0029
10.0376 1.9376 3.5343
Ba Ni Y
2 1 1
direct
0.0238 0.0238 0.0238 Ba
0.4762 0.4762 0.4762 Ba
0.7500 0.7500 0.7500 Ni
0.2500 0.2500 0.2500 Y
```

Calculated values
Mass density, g/cm3: 4.54
SG: No. 166
D(E_F), states/eV per cell: 5.16

***

The most stable arrangement is 3, and the next structure is 70 meV/atom less stable.

***

--- 1 ---
A relaxed structure of Ba2YNi, computed with PBE.

Structure (POSCAR):
```
Ba2YNi
1.0
4.4922 0.0000 0.0000
0.0000 5.4913 0.0000
0.0000 0.0000 5.4512
Ba Ni Y
2 1 1
direct
0.0000 0.0000 0.0000 Ba
0.5000 0.5000 0.0000 Ba
0.5000 0.0000 0.5000 Ni
0.0000 0.5000 0.5000 Y
```

Calculated values
Mass density, g/cm3: 5.21
SG: No. 47
D(E_F), states/eV per cell: 6.36

***

--- 2 ---
A relaxed structure of Ba2YNi, computed with PBE.

Structure (POSCAR):
```
Ba2YNi
1.0
-4.9239 -3.7217 2.7495
1.6268 -5.6695 3.2963
1.9337 6.4734 -0.1059
Ba Ni Y
2 1 1
direct
0.0000 0.0000 0.0000 Ba
0.2500 0.7500 0.5000 Ba
0.5000 0.5000 0.0000 Ni
0.7500 0.2500 0.5000 Y
```

Calculated values
Mass density, g/cm3: 5.12
SG: No. 119
D(E_F), states/eV per cell: 5.38

***

--- 3 ---
A relaxed structure of Ba2YNi, computed with PBE.

Structure (POSCAR):
```
Ba2YNi
1.0
-5.0441 0.9413 -2.4894
-2.5815 -0.4323 5.0671
0.4921 4.2618 0.6143
Ba Ni Y
2 1 1
direct
0.0000 0.0000 0.0000 Ba
0.5000 0.5000 0.0000 Ba
0.5000 0.0000 0.5000 Ni
0.0000 0.5000 0.5000 Y
```

Calculated values
Mass density, g/cm3: 4.97
SG: No. 123
D(E_F), states/eV per cell: 5.62

***

--- 4 ---
A relaxed structure of Ba2YNi, computed with PBE.

Structure (POSCAR):
```
Ba2YNi
1.0
-5.6995 -3.1986 7.6416
-2.3099 -3.8190 9.0105
-0.3279 3.4898 2.3936
Ba Ni Y
2 1 1
direct
0.0953 0.0953 0.9045 Ba
0.4047 0.4047 0.5955 Ba
0.7500 0.7500 0.7500 Ni
0.2500 0.2500 0.2500 Y
```

Calculated values
Mass density, g/cm3: 4.62
SG: No. 71
D(E_F), states/eV per cell: 4.59

***

The most stable arrangement is 4, and the next structure is 420 meV/atom less stable.

***

--- 1 ---
A relaxed structure of BaYNi3, computed with PBE.

Structure (POSCAR):
```
BaYNi3
1.0
-4.2189 1.2399 2.2826
-0.8656 -4.7759 0.9944
2.4492 0.4479 4.2834
Y Ni Ba
1 3 1
direct
0.5000 0.5000 0.5000 Y
0.0000 0.5000 0.0000 Ni
0.0000 0.0000 0.5000 Ni
0.5000 0.0000 0.0000 Ni
0.0000 0.0000 0.0000 Ba
```

Calculated values
Mass density, g/cm3: 5.49
SG: No. 221
D(E_F), states/eV per cell: 7.42

***

--- 2 ---
A relaxed structure of BaYNi3, computed with PBE.

Structure (POSCAR):
```
BaYNi3
1.0
-3.9076 -3.1784 0.2493
-0.1579 -0.2009 -5.0367
3.1843 -3.9104 0.0561
Y Ni Ba
1 3 1
direct
0.0000 0.0000 0.0000 Y
0.0000 0.5000 0.0000 Ni
0.0000 0.0000 0.5000 Ni
0.5000 0.0000 0.0000 Ni
0.5000 0.5000 0.5000 Ba
```

Calculated values
Mass density, g/cm3: 5.21
SG: No. 221
D(E_F), states/eV per cell: 4.81

***

The most stable arrangement is 2, and the next structure is 623 meV/atom less stable.